[1]
A relaxed structure of AlCuPt4. Source: the Alexandria database, functional GGA-PBE.

Calculated values
As for the energy of formation: -0.203 eV per atom. As for the total moment: 0.00 μB per atom. The energy relative to the lowest polymorph listed for this composition comes out at 0.107 eV per atom.

Cell: 4.4569 17.3155 5.3631 Å, 90.00 90.00 90.00°
With the nearest neighbours (Å) after each atom.
Space group Cmcm (No. 63)
Symmetry-distinct sites (fractional):
Al  0.0000  0.0762  0.2500 (multiplicity 4)  5 Pt 2.39-2.58
Cu  0.0000  0.3518  0.2500 (multiplicity 4)  10 Pt 2.68-2.92
Pt  0.0000  0.0618  0.7500 (multiplicity 4)  1 Al 2.39
Pt  0.0000  0.2025  0.5014 (multiplicity 8)  1 Al 2.57, 8 Pt 2.67-2.86, 2 Cu 2.76
Pt  0.0000  0.3486  0.7500 (multiplicity 4)  2 Al 2.58, 2 Cu 2.68, 6 Pt 2.75-2.86


[2]
A relaxed structure of AlCuPt4. Source: the Alexandria database, functional GGA-PBE.

Calculated values
As for the energy of formation: 0.017 eV per atom. As for the total moment: 0.00 μB per atom. The energy relative to the lowest polymorph listed for this composition comes out at 0.327 eV per atom.

Cell: 7.4133 7.4133 7.4133 Å, 90.00 90.00 90.00°
With the nearest neighbours (Å) after each atom.
Space group F-43m (No. 216)
Symmetry-distinct sites (fractional):
Al  0.0000  0.0000  0.0000 (multiplicity 4)  12 Pt 3.07, 4 Cu 3.21
Cu  0.2500  0.2500  0.7500 (multiplicity 4)  12 Pt 3.07, 4 Al 3.21
Pt  0.1249  0.1249  0.3751 (multiplicity 16)  6 Pt 2.62


[3]
A relaxed structure of Al2CuPt9. Source: the Alexandria database, functional GGA-PBE.

Calculated values
As for the energy of formation: -0.492 eV per atom. As for the total moment: 0.00 μB per atom.

Cell: 3.9206 3.9206 11.7446 Å, 90.00 90.00 90.00°
With the nearest neighbours (Å) after each atom.
Space group P4/mmm (No. 123)
Symmetry-distinct sites (fractional):
Al  0.0000  0.0000  0.1704 (multiplicity 2)  12 Pt 2.73-2.80
Cu  0.0000  0.0000  0.5000 (multiplicity 1)  12 Pt 2.77-2.78
Pt  0.0000  0.5000  0.0000 (multiplicity 2)  8 Pt 2.76-2.77, 4 Al 2.80
Pt  0.0000  0.5000  0.3327 (multiplicity 4)  2 Al 2.73, 8 Pt 2.77-2.78, 2 Cu 2.78
Pt  0.5000  0.5000  0.1658 (multiplicity 2)  8 Pt 2.76-2.77, 4 Al 2.77
Pt  0.5000  0.5000  0.5000 (multiplicity 1)  4 Cu 2.77, 8 Pt 2.78


[4]
A relaxed structure of AlCuPt2. Source: the Alexandria database, functional GGA-PBE.

Calculated values
As for the energy of formation: -0.643 eV per atom. As for the total moment: 0.00 μB per atom.

Cell: 2.8618 4.4063 4.5131 Å, 90.00 90.00 90.00°
With the nearest neighbours (Å) after each atom.
Space group Pmm2 (No. 25)
Symmetry-distinct sites (fractional):
Al  0.0000  0.0000  0.0000 (multiplicity 1)  8 Pt 2.64-2.71, 2 Cu 2.86, 2 Al 2.86
Cu  0.0000  0.5000  0.5953 (multiplicity 1)  8 Pt 2.66-2.68, 2 Al 2.86, 2 Cu 2.86
Pt  0.5000  0.0000  0.5096 (multiplicity 1)  4 Al 2.64-2.71, 4 Cu 2.66, 4 Pt 2.86-2.89
Pt  0.5000  0.5000  0.0938 (multiplicity 1)  4 Al 2.66, 4 Cu 2.67-2.68, 4 Pt 2.86-2.89


[5]
A relaxed structure of AlCu2Pt. Source: the Alexandria database, functional GGA-PBE.

Calculated values
As for the energy of formation: -0.395 eV per atom. As for the total moment: 0.00 μB per atom.

Cell: 8.6682 2.8144 4.5745 Å, 90.00 103.43 90.00°
With the nearest neighbours (Å) after each atom.
Space group Cm (No. 8)
Symmetry-distinct sites (fractional):
Al  0.0000  0.0000  0.0000 (multiplicity 2)  3 Pt 2.56-2.60, 7 Cu 2.62-2.82, 2 Al 2.81
Cu  0.0059  0.5000  0.5144 (multiplicity 2)  5 Cu 2.54-2.81, 4 Al 2.64-2.73, 3 Pt 2.74-2.76
Cu  0.2557  0.0000  0.7147 (multiplicity 2)  5 Cu 2.54-2.81, 3 Al 2.62-2.82, 4 Pt 2.68-2.70
Pt  0.2468  0.5000  0.2131 (multiplicity 2)  3 Al 2.56-2.60, 7 Cu 2.68-2.76, 2 Pt 2.81


[6]
A relaxed structure of PuAl2CuPt4. Source: the Alexandria database, functional GGA-PBE.

Calculated values
As for the energy of formation: -0.766 eV per atom. As for the total moment: 0.60 μB per atom.

Cell: 4.2621 4.2621 25.8695 Å, 90.00 90.00 120.00°
With the nearest neighbours (Å) after each atom.
Space group R-3m (No. 166, hexagonal axes)
Symmetry-distinct sites (fractional):
Pu  0.0000  0.0000  0.0000 (multiplicity 3)  6 Pt 3.01
Al  0.0000  0.0000  0.2358 (multiplicity 6)  7 Pt 2.59-2.71
Cu  0.0000  0.0000  0.5000 (multiplicity 3)  8 Pt 2.58-2.63
Pt  0.0000  0.0000  0.1309 (multiplicity 6)  4 Al 2.61-2.71, 3 Cu 2.63
Pt  0.0000  0.0000  0.4002 (multiplicity 6)  1 Cu 2.58, 3 Al 2.59


[7]
A relaxed structure of AlCuRuPt2. Source: the Alexandria database, functional GGA-PBE.

Calculated values
As for the energy of formation: 0.822 eV per atom. As for the total moment: 0.48 μB per atom.

Cell: 4.5250 4.5250 4.3460 Å, 90.00 90.00 90.00°
With the nearest neighbours (Å) after each atom.
Space group P4/mmm (No. 123)
Symmetry-distinct sites (fractional):
Al  0.0000  0.0000  0.0000 (multiplicity 1)  2 Cu 2.17, 4 Pt 2.26
Cu  0.0000  0.0000  0.5000 (multiplicity 1)  2 Al 2.17
Ru  0.5000  0.5000  0.5000 (multiplicity 1)  8 Pt 3.14, 4 Cu 3.20
Pt  0.0000  0.5000  0.0000 (multiplicity 2)  2 Al 2.26


[8]
A relaxed structure of AlCuRu2Pt. Source: the Alexandria database, functional GGA-PBE.

Calculated values
As for the energy of formation: 1.086 eV per atom. As for the total moment: 0.09 μB per atom.

Cell: 4.4519 4.4519 4.2226 Å, 90.00 90.00 90.00°
With the nearest neighbours (Å) after each atom.
Space group P4/mmm (No. 123)
Symmetry-distinct sites (fractional):
Al  0.0000  0.0000  0.0000 (multiplicity 1)  2 Cu 2.11
Cu  0.0000  0.0000  0.5000 (multiplicity 1)  2 Al 2.11, 4 Ru 2.23
Ru  0.0000  0.5000  0.5000 (multiplicity 2)  2 Cu 2.23
Pt  0.5000  0.5000  0.0000 (multiplicity 1)  8 Ru 3.07, 4 Al 3.15


[9]
A relaxed structure of ScAlCuPt2. Source: the Alexandria database, functional GGA-PBE.

Calculated values
As for the energy of formation: -0.168 eV per atom. As for the total moment: 0.00 μB per atom.

Cell: 4.6110 4.6110 4.3868 Å, 90.00 90.00 90.00°
With the nearest neighbours (Å) after each atom.
Space group P4/mmm (No. 123)
Symmetry-distinct sites (fractional):
Sc  0.0000  0.0000  0.0000 (multiplicity 1)  8 Pt 3.18, 4 Cu 3.26
Al  0.5000  0.5000  0.5000 (multiplicity 1)  2 Cu 2.19, 4 Pt 2.31
Cu  0.5000  0.5000  0.0000 (multiplicity 1)  2 Al 2.19
Pt  0.0000  0.5000  0.5000 (multiplicity 2)  2 Al 2.31


[10]
A relaxed structure of Sc4AlCu2Pt. Source: the Alexandria database, functional GGA-PBE.

Calculated values
As for the energy of formation: -0.596 eV per atom. As for the total moment: 0.00 μB per atom.

Cell: 4.6653 4.6653 23.0657 Å, 90.00 90.00 120.00°
With the nearest neighbours (Å) after each atom.
Space group R-3m (No. 166, hexagonal axes)
Symmetry-distinct sites (fractional):
Sc  0.0000  0.0000  0.1203 (multiplicity 6)  4 Cu 2.75-2.76, 1 Pt 2.78, 3 Al 2.90
Sc  0.0000  0.0000  0.3722 (multiplicity 6)  3 Pt 2.84, 1 Al 2.95, 4 Cu 2.98-3.06
Al  0.0000  0.0000  0.5000 (multiplicity 3)  8 Sc 2.90-2.95, 6 Cu 3.17
Cu  0.0000  0.0000  0.2395 (multiplicity 6)  8 Sc 2.75-3.06
Pt  0.0000  0.0000  0.0000 (multiplicity 3)  8 Sc 2.78-2.84


[11]
A relaxed structure of SmAl3CuPt. Source: the Alexandria database, functional GGA-PBE.

Calculated values
As for the energy of formation: -0.504 eV per atom. As for the total moment: 0.00 μB per atom.

Cell: 6.3420 11.9650 5.9177 Å, 90.00 90.00 90.00°
With the nearest neighbours (Å) after each atom.
Space group Cmcm (No. 63)
Symmetry-distinct sites (fractional):
Sm  0.0000  0.2204  0.2500 (multiplicity 4)  1 Cu 2.72
Al  0.0000  0.3472  0.7500 (multiplicity 4)  1 Cu 2.46, 1 Pt 2.51
Al  0.2104  0.0000  0.0000 (multiplicity 8)  2 Cu 2.44, 2 Pt 2.58, 1 Al 2.67
Cu  0.0000  0.4474  0.2500 (multiplicity 4)  5 Al 2.44-2.46, 1 Sm 2.72
Pt  0.0000  0.1373  0.7500 (multiplicity 4)  5 Al 2.51-2.58


[12]
A relaxed structure of Sm2Al3CuPt12. Source: the Alexandria database, functional GGA-PBE.

Calculated values
As for the energy of formation: -0.446 eV per atom. As for the total moment: 0.00 μB per atom.

Cell: 8.1048 8.1048 18.9188 Å, 90.00 90.00 120.00°
With the nearest neighbours (Å) after each atom.
Space group R-3m (No. 166, hexagonal axes)
Symmetry-distinct sites (fractional):
Sm  0.0000  0.0000  0.1250 (multiplicity 6)  6 Pt 2.77-2.84
Al  0.0000  0.5000  0.0000 (multiplicity 9)  6 Pt 2.42-2.46
Cu  0.0000  0.0000  0.5000 (multiplicity 3)  6 Pt 2.47
Pt  0.0032  0.5016  0.3753 (multiplicity 18)  2 Al 2.46
Pt  0.0030  0.5015  0.8721 (multiplicity 18)  1 Al 2.42, 1 Cu 2.47